No. 1
Computed, not measured: crystalline SbRhN2O at its relaxed geometry at the GGA-PBE level of DFT.

Summary:
Uncorrected energy in eV per atom: -5.85

a b c (Å): 3.8946 3.8946 4.0753
angles (deg): 90.00 90.00 90.00
With the nearest neighbours (Å) after each atom.
Fractional coordinates of all 5 atoms:
Sb 0.5000 0.5000 0.5000  4 O 2.75, 8 N 2.82
Rh 0.0000 0.0000 0.0000  4 N 1.95, 2 O 2.04
O 0.0000 0.0000 0.5000  2 Rh 2.04
N 0.0000 0.5000 0.0000  2 Rh 1.95
N 0.5000 0.0000 0.0000  2 Rh 1.95

=====

No. 2
Computed, not measured: crystalline SbRhN2O at its relaxed geometry at the GGA-PBE level of DFT.

Summary:
Uncorrected energy in eV per atom: -5.50

a b c (Å): 4.0443 4.0443 3.8725
angles (deg): 90.00 90.00 90.00
With the nearest neighbours (Å) after each atom.
Fractional coordinates of all 5 atoms:
Sb 0.0000 0.0000 0.0000  2 O 1.94, 4 N 2.02
Rh 0.5000 0.5000 0.5000  8 N 2.80, 4 O 2.86
O 0.0000 0.0000 0.5000  2 Sb 1.94
N 0.0000 0.5000 0.0000  2 Sb 2.02
N 0.5000 0.0000 0.0000  2 Sb 2.02

=====

No. 3
Computed, not measured: crystalline SiRhN2O at its relaxed geometry at the GGA-PBE level of DFT.

Summary:
Uncorrected energy in eV per atom: -6.70

a b c (Å): 3.6551 3.6551 3.4449
angles (deg): 90.00 90.00 90.00
With the nearest neighbours (Å) after each atom.
Fractional coordinates of all 5 atoms:
Si 0.0000 0.0000 0.0000  2 O 1.72, 4 N 1.83
Rh 0.5000 0.5000 0.5000  8 N 2.51, 4 O 2.58
O 0.0000 0.0000 0.5000  2 Si 1.72
N 0.0000 0.5000 0.0000  2 Si 1.83
N 0.5000 0.0000 0.0000  2 Si 1.83

=====

| no. | ΔE_f (raw) (eV/f.u.) |
| --- | --- |
| 1 | 3.8 |
| 2 | 5.6 |
| 3 | 0.9 |